[1]
Density functional theory data (GGA-PBE) for a relaxed ZrFeSb crystal.

The total DFT energy (no corrections) is -66.1 eV/cell.

The space group is P-62m (No. 189) and the conventional cell measures 6.6462, 6.6462 and 4.1971 Å, with angles of 90.00, 90.00 and 120.00 degrees. Symmetry generates all atoms from Zr at (0.0000, 0.5661, 0.0000), Fe at (0.0000, 0.2344, 0.5000), Sb at (0.0000, 0.0000, 0.0000) and Sb at (0.3333, 0.6667, 0.5000).

[2]
Density functional theory data (GGA-PBE) for a relaxed PmAsIrO crystal.

The distance to the lowest polymorph of the same formula is 2.43 eV/f.u.

The space group is Pmc2_1 (No. 26) and the conventional cell measures 3.337, 7.966 and 5.312 Å, with angles of 90.00, 90.00 and 90.00 degrees. Symmetry generates all atoms from Pm at (0.000, 0.152, 0.000), As at (0.000, 0.445, 0.487), Ir at (0.500, 0.235, 0.503) and O at (0.500, 0.006, 0.742).

[3]
Density functional theory data (GGA-PBE) for a relaxed LuSnPtC crystal.

The distance to the lowest polymorph of the same formula is 0.29 eV/f.u.

The space group is P6_3mc (No. 186) and the conventional cell measures 4.0419, 4.0419 and 11.1996 Å, with angles of 90.00, 90.00 and 120.00 degrees. Symmetry generates all atoms from Lu at (0.3333, 0.6667, 0.0000), Sn at (0.0000, 0.0000, 0.1988), Pt at (0.3333, 0.6667, 0.3132) and C at (0.3333, 0.6667, 0.4884).

[4]
Density functional theory data (GGA-PBE) for a relaxed Tm3Ga2NiGe3 crystal.

The total DFT energy (no corrections) is -44.2 eV/cell.

The space group is P-62m (No. 189) and the conventional cell measures 6.9545, 6.9545 and 4.0852 Å, with angles of 90.00, 90.00 and 120.00 degrees. Symmetry generates all atoms from Tm at (0.0000, 0.6107, 0.0000), Ga at (0.3333, 0.6667, 0.5000), Ni at (0.0000, 0.0000, 0.0000) and Ge at (0.0000, 0.2432, 0.5000).